(1)
Computed, not measured: a relaxed structure of V3SiTc at the PBE level of DFT.

Values from the calculation:
energy relative to the elements, uncorrected = 883 meV/atom
total magnetic moment = 0.1 μB/f.u.
symmetry = No. 221
excess energy over the best structure of this formula in the dataset = 0.0 meV per atom

a = 4.3154 Å, b = 4.3154 Å, c = 4.3154 Å
α = 90.00°, β = 90.00°, γ = 90.00°
Last column: nearest neighbours and their distance in Å.
Sites, in units of the cell vectors:
1 Si 0.0000 0.0000 0.0000  6 V 2.16
2 Tc 0.5000 0.5000 0.5000  12 V 3.05
3 V 0.0000 0.5000 0.0000  2 Si 2.16
4 V 0.0000 0.0000 0.5000  2 Si 2.16
5 V 0.5000 0.0000 0.0000  2 Si 2.16

---

(2)
Computed, not measured: a relaxed structure of AgTeI2N at the PBE level of DFT.

Values from the calculation:
energy relative to the elements, uncorrected = 709 meV/atom
total magnetic moment = 0.0 μB/f.u.
symmetry = No. 123
excess energy over the best structure of this formula in the dataset = 0.0 meV per atom

a = 6.2263 Å, b = 6.2263 Å, c = 4.0046 Å
α = 90.00°, β = 90.00°, γ = 90.00°
Last column: nearest neighbours and their distance in Å.
Sites, in units of the cell vectors:
1 I 0.0000 0.5000 0.0000  2 Te 3.11
2 I 0.5000 0.0000 0.0000  2 Te 3.11
3 Te 0.0000 0.0000 0.0000  2 N 2.00
4 Ag 0.5000 0.5000 0.5000  8 I 3.70, 2 Ag 4.00
5 N 0.0000 0.0000 0.5000  2 Te 2.00